# CrTe2Se

A geometry-optimized CrTe2Se structure (PBE, Alexandria via LeMat-Bulk).

Results
Magnetization: 0.838 μB per atom
Energy relative to the elements, uncorrected: 77 meV/atom
Electronic total energy: -38.168 eV per cell
Crystal system: orthorhombic

abc: 3.721 4.478 12.338
angles: 90.00 90.00 90.00
Space group Immm (No. 71)
Unique sites:
Cr 0.000 0.000 0.000
Te 0.000 0.500 0.335
Se 0.000 0.000 0.500